Below is crystalline Ba3V2FeO9 at its relaxed geometry, with properties calculated at the GGA+U level.

POSCAR file:
```
Ba3V2FeO9
1.0
5.688 0.000 0.000
-2.844 4.926 0.000
0.000 0.000 6.931
Ba V Fe O
3 2 1 9
direct
0.333 0.667 0.668
0.000 0.000 0.000
0.667 0.333 0.332
0.333 0.667 0.170
0.667 0.333 0.830
0.000 0.000 0.500
0.828 0.172 0.674
0.828 0.657 0.674
0.343 0.172 0.674
0.657 0.828 0.326
0.172 0.343 0.326
0.172 0.828 0.326
0.500 0.000 0.000
0.000 0.500 0.000
0.500 0.500 0.000
```

Density, g/cm3: 6.102
DOS at the Fermi energy, states/eV per cell: 2.40
Symmetry: P-3m1
VASP energy, eV/atom: -7.002